First-principles (PBE) data for a relaxed CeSnRhAu crystal, as listed in Alexandria via LeMat-Bulk.

Properties
Energy of formation from the pure elements   -0.567 eV per atom

a = 6.9553 Å, b = 6.9553 Å, c = 6.9553 Å
α = 90.00°, β = 90.00°, γ = 90.00°
Closest atoms and distances in Å follow each position.
Space group F-43m (No. 216)
Symmetry-distinct sites (fractional):
Ce (0.0000, 0.0000, 0.0000) x4  4 Rh 3.01, 4 Au 3.01
Sn (0.0000, 0.0000, 0.5000) x4  4 Au 3.01, 4 Rh 3.01
Rh (0.2500, 0.2500, 0.2500) x4  4 Sn 3.01, 4 Ce 3.01
Au (0.2500, 0.2500, 0.7500) x4  4 Sn 3.01, 4 Ce 3.01

=====

First-principles (PBE) data for a relaxed SrCeRhAu crystal, as listed in Alexandria via LeMat-Bulk.

Properties
Energy of formation from the pure elements   -0.482 eV per atom

a = 7.2989 Å, b = 7.2989 Å, c = 7.2989 Å
α = 90.00°, β = 90.00°, γ = 90.00°
Closest atoms and distances in Å follow each position.
Space group F-43m (No. 216)
Symmetry-distinct sites (fractional):
Sr (0.0000, 0.0000, 0.0000) x4  4 Rh 3.16, 4 Au 3.16
Ce (0.0000, 0.0000, 0.5000) x4  4 Rh 3.16, 4 Au 3.16
Rh (0.2500, 0.2500, 0.2500) x4  4 Ce 3.16, 4 Sr 3.16
Au (0.2500, 0.2500, 0.7500) x4  4 Ce 3.16, 4 Sr 3.16

=====

First-principles (PBE) data for a relaxed CeTlRhAu crystal, as listed in Alexandria via LeMat-Bulk.

Properties
Energy of formation from the pure elements   -0.397 eV per atom

a = 7.0021 Å, b = 7.0021 Å, c = 7.0021 Å
α = 90.00°, β = 90.00°, γ = 90.00°
Closest atoms and distances in Å follow each position.
Space group F-43m (No. 216)
Symmetry-distinct sites (fractional):
Ce (0.0000, 0.0000, 0.0000) x4  4 Au 3.03, 4 Rh 3.03
Tl (0.0000, 0.0000, 0.5000) x4  4 Rh 3.03, 4 Au 3.03
Rh (0.2500, 0.2500, 0.7500) x4  4 Tl 3.03, 4 Ce 3.03
Au (0.2500, 0.2500, 0.2500) x4  4 Tl 3.03, 4 Ce 3.03